[1]
LiAg2Ru | Alexandria | PBE | relaxed; crystal system = orthorhombic; energy of formation = 178 meV per atom; space-group type = Cmmm, No. 65; spin magnetization = 0.00 μB/cell; uncorrected energy = -4.05 eV per atom; excess energy over the best structure of this formula in the dataset = 0 meV/atom
1.0
6.356 0.004 0.012
-2.617 4.252 0.000
1.122 0.689 2.328
Li Ru Ag
1 1 2
Cartesian
-0.748 2.471 1.164
1.869 2.128 0.006
3.739 0.346 1.170
0.000 0.000 0.000

---

[2]
Li2AgRu | Alexandria | PBE | relaxed; crystal system = orthorhombic; energy of formation = 169 meV per atom; space-group type = Cmmm, No. 65; spin magnetization = 0.13 μB/cell; uncorrected energy = -3.82 eV per atom; excess energy over the best structure of this formula in the dataset = 106 meV/atom
1.0
-3.626 -0.977 -3.172
4.175 -2.126 -1.489
-0.601 -2.120 1.340
Ru Li Ag
1 2 1
Cartesian
-2.114 -1.549 -0.916
0.274 -1.552 -2.331
0.000 0.000 0.000
1.787 -2.123 -0.074

---

[3]
Li2AgRu | Alexandria | PBE | relaxed; crystal system = orthorhombic; energy of formation = 156 meV per atom; space-group type = Immm, No. 71; spin magnetization = 0.00 μB/cell; uncorrected energy = -3.83 eV per atom; excess energy over the best structure of this formula in the dataset = 94 meV/atom
1.0
5.353 -0.008 -0.006
2.461 4.754 0.006
-3.119 -3.671 2.335
Ag Li Ru
1 2 1
Cartesian
1.625 1.728 1.171
7.811 4.744 0.000
3.910 2.375 0.000
3.071 -0.653 1.165

---

[4]
Li2AgRu | Alexandria | PBE | relaxed; crystal system = monoclinic; energy of formation = 125 meV per atom; space-group type = P2/m, No. 10; spin magnetization = 0.19 μB/cell; uncorrected energy = -3.86 eV per atom; excess energy over the best structure of this formula in the dataset = 62 meV/atom
1.0
-3.917 1.277 -1.675
-1.197 -0.871 2.136
0.452 4.504 2.376
Li Ru Ag
2 1 1
Cartesian
-1.118 -0.717 2.068
-0.452 1.663 2.325
-2.145 1.547 0.291
-2.517 3.364 2.547

---

[5]
LiAg2Ru | Alexandria | PBE | relaxed; crystal system = orthorhombic; energy of formation = 224 meV per atom; space-group type = Cmm2, No. 35; spin magnetization = 0.00 μB/cell; uncorrected energy = -4.00 eV per atom; excess energy over the best structure of this formula in the dataset = 46 meV/atom
1.0
-2.281 -1.487 -0.190
1.796 -0.241 -2.042
4.301 -7.189 4.630
Li Ag Ru
1 2 1
Cartesian
2.188 -3.658 2.356
4.269 -7.137 4.596
0.882 -2.745 0.095
2.927 -6.162 2.296

---

[6]
LiAg2Ru | Alexandria | PBE | relaxed; crystal system = tetragonal; energy of formation = 402 meV per atom; space-group type = I-4m2, No. 119; spin magnetization = 1.40 μB/cell; uncorrected energy = -3.82 eV per atom; excess energy over the best structure of this formula in the dataset = 224 meV/atom
1.0
4.896 -0.001 0.000
1.632 4.616 0.000
-3.264 -2.308 2.827
Ru Ag Li
1 2 1
Cartesian
2.448 0.000 1.414
0.816 2.308 1.414
0.000 0.000 0.000
3.264 2.308 0.000

---

[7]
LiAg2Ru | Alexandria | PBE | relaxed; crystal system = tetragonal; energy of formation = 673 meV per atom; space-group type = I-42d, No. 122; spin magnetization = 2.52 μB/cell; uncorrected energy = -3.55 eV per atom; excess energy over the best structure of this formula in the dataset = 495 meV/atom
1.0
3.821 0.000 0.000
0.000 3.821 0.000
1.911 1.911 9.498
Ru Ag Li
2 4 2
Cartesian
3.821 1.911 4.749
0.000 0.000 0.000
4.776 4.763 7.123
0.968 2.866 2.374
2.853 0.955 2.374
2.866 2.879 7.123
1.911 1.911 0.000
1.911 3.821 4.749

---

[8]
Li2Ag2Ru | Alexandria | PBE | relaxed; crystal system = tetragonal; energy of formation = 214 meV per atom; space-group type = P4/mbm, No. 127; spin magnetization = 0.00 μB/cell; uncorrected energy = -3.55 eV per atom; excess energy over the best structure of this formula in the dataset = 0 meV/atom
1.0
-6.467 3.238 0.305
-1.684 -3.914 5.852
1.068 1.980 1.632
Li Ru Ag
4 2 4
Cartesian
-4.275 1.533 0.940
-3.875 -2.208 5.217
-1.453 -1.042 2.217
-6.697 0.367 3.940
0.000 0.000 0.000
-4.075 -0.338 3.078
-1.862 1.357 1.939
-5.348 2.390 2.969
-1.734 -1.085 4.820
-5.220 -0.053 5.849